Entry from the Alexandria database: BAsBr after structural relaxation (PBE).

DFT total energy (eV per atom): -4.26
Raw formation energy (eV/atom): 0.073
Crystal system: monoclinic
Symmetry: P2_1/c, No. 14

Cell: 5.747 7.802 6.596 Å, 104.85 90.00 90.00°
Fractional coordinates of all 12 atoms:
Br: 0.371 0.304 0.720
Br: 0.871 0.696 0.780
Br: 0.629 0.696 0.280
Br: 0.129 0.304 0.220
B: 0.211 0.073 0.678
B: 0.711 0.927 0.822
B: 0.789 0.927 0.322
B: 0.289 0.073 0.178
As: 0.335 0.908 0.865
As: 0.835 0.092 0.635
As: 0.665 0.092 0.135
As: 0.165 0.908 0.365